## VCo (PBE)

Data for an optimized crystal structure of VCo.

Properties
Electronic total energy (eV per atom): -7.838

Cell: 6.9794 6.9794 4.1859 Å, 90.00 90.00 90.00°
With the nearest neighbours (Å) after each atom.
Fractional coordinates of all 16 atoms:
1 V 0.2765 0.3931 0.5000  2 Co 2.33-2.55, 4 V 2.45-2.50
2 V 0.3931 0.7235 0.5000  2 Co 2.33-2.55, 4 V 2.45-2.50
3 Co 0.8946 0.7667 0.0000  3 V 2.31-2.46, 4 Co 2.40-2.53
4 V 0.1850 0.5673 0.0000  3 Co 2.31-2.46, 2 V 2.50
5 V 0.4327 0.1850 0.0000  3 Co 2.31-2.46, 2 V 2.50
6 V 0.8150 0.4327 0.0000  3 Co 2.31-2.46, 2 V 2.50
7 Co 0.1054 0.2333 0.0000  3 V 2.31-2.46, 4 Co 2.40-2.53
8 Co 0.7488 0.9395 0.5000  4 V 2.33-2.60, 4 Co 2.40-2.55
9 Co 0.9395 0.2512 0.5000  4 V 2.33-2.60, 4 Co 2.40-2.55
10 Co 0.0605 0.7488 0.5000  4 V 2.33-2.60, 4 Co 2.40-2.55
11 V 0.5673 0.8150 0.0000  3 Co 2.31-2.46, 2 V 2.50
12 Co 0.2512 0.0605 0.5000  4 V 2.33-2.60, 4 Co 2.40-2.55
13 Co 0.7667 0.1054 0.0000  3 V 2.31-2.46, 4 Co 2.40-2.53
14 Co 0.2333 0.8946 0.0000  3 V 2.31-2.46, 4 Co 2.40-2.53
15 V 0.7235 0.6069 0.5000  2 Co 2.33-2.55, 4 V 2.45-2.50
16 V 0.6069 0.2765 0.5000  2 Co 2.33-2.55, 4 V 2.45-2.50